Below is crystalline Na2VPbO4 at its relaxed geometry, with properties calculated at the GGA+U level.

a = 8.1434 Å, b = 6.0510 Å, c = 5.2331 Å
α = 90.00°, β = 90.00°, γ = 90.00°
Space group Pmn2_1 (No. 31)
Unique sites:
Na (0.2459, 0.1890, 0.0000)
V (0.0000, 0.3229, 0.5271)
Pb (0.0000, 0.7156, 0.9990)
O (0.0000, 0.3598, 0.8841)
O (0.0000, 0.6218, 0.4246)
O (0.1921, 0.1935, 0.4537)

Results
calculated total energy = -5.880 eV/atom
calculated density = 4.741 Mg/m³